Entry from Alexandria: an optimized crystal structure of Tl12Pd5Pt3 (PBE).

POSCAR file:
```
Tl12Pd5Pt3
1.0
-8.175 8.175 8.175
8.175 -8.175 8.175
8.175 8.175 -8.175
Tl Pd Pt
48 20 12
Direct
0.055 0.228 0.127
0.055 0.327 0.928
0.072 0.627 0.399
0.072 0.945 0.673
0.101 0.728 0.673
0.101 0.873 0.428
0.127 0.055 0.228
0.127 0.572 0.899
0.173 0.228 0.601
0.173 0.445 0.572
0.228 0.127 0.055
0.228 0.601 0.173
0.272 0.327 0.899
0.272 0.445 0.373
0.327 0.899 0.272
0.327 0.928 0.055
0.373 0.272 0.445
0.373 0.601 0.928
0.399 0.072 0.627
0.399 0.827 0.772
0.428 0.101 0.873
0.428 0.827 0.555
0.445 0.373 0.272
0.445 0.572 0.173
0.555 0.428 0.827
0.555 0.627 0.728
0.572 0.173 0.445
0.572 0.899 0.127
0.601 0.173 0.228
0.601 0.928 0.373
0.627 0.399 0.072
0.627 0.728 0.555
0.673 0.072 0.945
0.673 0.101 0.728
0.728 0.555 0.627
0.728 0.673 0.101
0.772 0.399 0.827
0.772 0.873 0.945
0.827 0.555 0.428
0.827 0.772 0.399
0.873 0.428 0.101
0.873 0.945 0.772
0.899 0.127 0.572
0.899 0.272 0.327
0.928 0.055 0.327
0.928 0.373 0.601
0.945 0.673 0.072
0.945 0.772 0.873
0.000 0.000 0.000
0.000 0.000 0.500
0.000 0.500 0.000
0.000 0.500 0.500
0.125 0.750 0.875
0.125 0.875 0.250
0.250 0.125 0.875
0.250 0.625 0.375
0.375 0.250 0.625
0.375 0.625 0.750
0.500 0.000 0.000
0.500 0.000 0.500
0.500 0.500 0.000
0.500 0.500 0.500
0.625 0.375 0.250
0.625 0.750 0.375
0.750 0.375 0.625
0.750 0.875 0.125
0.875 0.125 0.750
0.875 0.250 0.125
0.125 0.250 0.375
0.125 0.375 0.750
0.250 0.375 0.125
0.250 0.875 0.625
0.375 0.125 0.250
0.375 0.750 0.125
0.625 0.250 0.875
0.625 0.875 0.750
0.750 0.125 0.375
0.750 0.625 0.875
0.875 0.625 0.250
0.875 0.750 0.625
```

Values from the calculation:
Its space-group type is Ia-3d, No. 230. The calculation puts the formation enthalpy at 0 K at 94 meV per atom. The value obtained for the uncorrected energy is -0.1297 hartree per atom. The value obtained for the total magnetic moment is 0.0 μB per formula unit.